## PaAg5 (PBE)

Data for PaAg5 after structural relaxation.

Summary:
The calculation puts the electronic total energy at -3.72 eV/atom. The value obtained for the calculated formation energy is 0.239 eV per atom.

Structure (extended XYZ):
```
6
Lattice="2.5622 -4.6486 0.0000 2.5622 4.6486 0.0000 0.0000 0.0000 5.1251" Properties=species:S:1:pos:R:3 pbc="T T T"
Pa 0.0000 0.0000 0.0000
Ag 2.5622 2.9718 2.5625
Ag 2.5622 1.5632 0.0000
Ag 2.5622 0.0000 2.5625
Ag 2.5622 -1.5632 0.0000
Ag 2.5622 -2.9718 2.5625
```

***

## Si2AsBr (PBE)

Data for Si2AsBr after structural relaxation.

Summary:
The calculation puts the electronic total energy at -3.68 eV/atom. The calculation puts the excess energy over the best structure of this formula in the dataset at 0.556 eV per atom. The calculation puts the formation energy (no corrections) at 613 meV per atom.

Structure (extended XYZ):
```
4
Lattice="0.0000 3.3851 3.3851 3.3851 0.0000 3.3851 3.3851 3.3851 0.0000" Properties=species:S:1:pos:R:3 pbc="T T T"
Si 1.6926 1.6926 1.6926
Si 5.0777 5.0777 5.0777
As 0.0000 0.0000 0.0000
Br 3.3851 3.3851 3.3851
```

***

## FePb (PBE)

Data for FePb after structural relaxation.

Summary:
The calculation puts the electronic total energy at -5.40 eV/atom. The value obtained for the calculated formation energy is 0.686 eV per atom.

Structure (extended XYZ):
```
2
Lattice="3.3692 0.0000 0.0000 -1.6846 2.9178 0.0000 0.0000 0.0000 4.0529" Properties=species:S:1:pos:R:3 pbc="T T T"
Fe 0.0000 0.0000 0.0000
Pb 0.0000 1.9452 2.0265
```